one.
VASP calculation (PBE) on CsBeMoIr after structural relaxation.

Cell lengths 6.5144, 6.5144, 6.5144 Å; angles 90.00, 90.00, 90.00 degrees
Last column: nearest neighbours and their distance in Å.
Space group F-43m (No. 216)
Inequivalent atoms, fractional coordinates:
Cs1 0.0000 0.0000 0.0000 (multiplicity 4)  4 Mo 2.82, 4 Ir 2.82
Be1 0.0000 0.0000 0.5000 (multiplicity 4)  4 Mo 2.82, 4 Ir 2.82
Mo1 0.2500 0.2500 0.2500 (multiplicity 4)  4 Be 2.82, 4 Cs 2.82
Ir1 0.2500 0.2500 0.7500 (multiplicity 4)  4 Cs 2.82, 4 Be 2.82

***

two.
VASP calculation (PBE) on CsBeMoIr after structural relaxation.

Cell lengths 6.5858, 6.5858, 6.5858 Å; angles 90.00, 90.00, 90.00 degrees
Last column: nearest neighbours and their distance in Å.
Space group F-43m (No. 216)
Inequivalent atoms, fractional coordinates:
Cs1 0.0000 0.0000 0.0000 (multiplicity 4)  4 Mo 2.85, 4 Be 2.85
Be1 0.2500 0.2500 0.2500 (multiplicity 4)  4 Ir 2.85, 4 Cs 2.85
Mo1 0.2500 0.2500 0.7500 (multiplicity 4)  4 Ir 2.85, 4 Cs 2.85
Ir1 0.0000 0.0000 0.5000 (multiplicity 4)  4 Mo 2.85, 4 Be 2.85

***

The structure with the greatest stability is two.

***

one.
VASP calculation (PBE) on CsBeNbNi after structural relaxation.

Cell lengths 6.5168, 6.5168, 6.5168 Å; angles 90.00, 90.00, 90.00 degrees
Last column: nearest neighbours and their distance in Å.
Space group F-43m (No. 216)
Inequivalent atoms, fractional coordinates:
Cs1 0.0000 0.0000 0.0000 (multiplicity 4)  4 Nb 2.82, 4 Ni 2.82
Be1 0.0000 0.0000 0.5000 (multiplicity 4)  4 Nb 2.82, 4 Ni 2.82
Nb1 0.2500 0.2500 0.2500 (multiplicity 4)  4 Be 2.82, 4 Cs 2.82
Ni1 0.2500 0.2500 0.7500 (multiplicity 4)  4 Be 2.82, 4 Cs 2.82

***

two.
VASP calculation (PBE) on CsBeNbNi after structural relaxation.

Cell lengths 6.7953, 6.7953, 6.7953 Å; angles 90.00, 90.00, 90.00 degrees
Last column: nearest neighbours and their distance in Å.
Space group F-43m (No. 216)
Inequivalent atoms, fractional coordinates:
Cs1 0.0000 0.0000 0.0000 (multiplicity 4)  4 Ni 2.94, 4 Be 2.94
Be1 0.2500 0.2500 0.7500 (multiplicity 4)  4 Nb 2.94, 4 Cs 2.94
Nb1 0.0000 0.0000 0.5000 (multiplicity 4)  4 Be 2.94, 4 Ni 2.94
Ni1 0.2500 0.2500 0.2500 (multiplicity 4)  4 Nb 2.94, 4 Cs 2.94

***

The structure with the greatest stability is one.

***

one.
VASP calculation (PBE) on CsBeNbPd after structural relaxation.

Cell lengths 6.7197, 6.7197, 6.7197 Å; angles 90.00, 90.00, 90.00 degrees
Last column: nearest neighbours and their distance in Å.
Space group F-43m (No. 216)
Inequivalent atoms, fractional coordinates:
Cs1 0.0000 0.0000 0.0000 (multiplicity 4)  4 Nb 2.91, 4 Be 2.91
Be1 0.2500 0.2500 0.7500 (multiplicity 4)  4 Pd 2.91, 4 Cs 2.91
Nb1 0.2500 0.2500 0.2500 (multiplicity 4)  4 Pd 2.91, 4 Cs 2.91
Pd1 0.0000 0.0000 0.5000 (multiplicity 4)  4 Nb 2.91, 4 Be 2.91

***

two.
VASP calculation (PBE) on CsBeNbPd after structural relaxation.

Cell lengths 6.7306, 6.7306, 6.7306 Å; angles 90.00, 90.00, 90.00 degrees
Last column: nearest neighbours and their distance in Å.
Space group F-43m (No. 216)
Inequivalent atoms, fractional coordinates:
Cs1 0.0000 0.0000 0.0000 (multiplicity 4)  4 Pd 2.91, 4 Nb 2.91
Be1 0.0000 0.0000 0.5000 (multiplicity 4)  4 Nb 2.91, 4 Pd 2.91
Nb1 0.2500 0.2500 0.7500 (multiplicity 4)  4 Cs 2.91, 4 Be 2.91
Pd1 0.2500 0.2500 0.2500 (multiplicity 4)  4 Be 2.91, 4 Cs 2.91

***

The structure with the greatest stability is one.

***

one.
VASP calculation (PBE) on CsNpBe after structural relaxation.

Cell lengths 7.0395, 7.0395, 7.0395 Å; angles 90.00, 90.00, 90.00 degrees
Last column: nearest neighbours and their distance in Å.
Space group F-43m (No. 216)
Inequivalent atoms, fractional coordinates:
Cs1 0.0000 0.0000 0.0000 (multiplicity 4)  4 Np 3.05, 4 Be 3.05
Np1 0.2500 0.2500 0.2500 (multiplicity 4)  4 Cs 3.05
Be1 0.2500 0.2500 0.7500 (multiplicity 4)  4 Cs 3.05

***

two.
VASP calculation (PBE) on CsNpBe after structural relaxation.

Cell lengths 7.0359, 7.0359, 7.0359 Å; angles 90.00, 90.00, 90.00 degrees
Last column: nearest neighbours and their distance in Å.
Space group F-43m (No. 216)
Inequivalent atoms, fractional coordinates:
Cs1 0.0000 0.0000 0.0000 (multiplicity 4)  4 Np 3.05
Np1 0.2500 0.2500 0.7500 (multiplicity 4)  4 Be 3.05, 4 Cs 3.05
Be1 0.0000 0.0000 0.5000 (multiplicity 4)  4 Np 3.05

***

The structure with the greatest stability is two.

***

one.
VASP calculation (PBE) on CsBeReOs after structural relaxation.

Cell lengths 6.5987, 6.5987, 6.5987 Å; angles 90.00, 90.00, 90.00 degrees
Last column: nearest neighbours and their distance in Å.
Space group F-43m (No. 216)
Inequivalent atoms, fractional coordinates:
Cs1 0.0000 0.0000 0.0000 (multiplicity 4)  4 Os 2.86, 4 Be 2.86
Be1 0.2500 0.2500 0.2500 (multiplicity 4)  4 Re 2.86, 4 Cs 2.86
Re1 0.0000 0.0000 0.5000 (multiplicity 4)  4 Be 2.86, 4 Os 2.86
Os1 0.2500 0.2500 0.7500 (multiplicity 4)  4 Re 2.86, 4 Cs 2.86

***

two.
VASP calculation (PBE) on CsBeReOs after structural relaxation.

Cell lengths 6.5547, 6.5547, 6.5547 Å; angles 90.00, 90.00, 90.00 degrees
Last column: nearest neighbours and their distance in Å.
Space group F-43m (No. 216)
Inequivalent atoms, fractional coordinates:
Cs1 0.0000 0.0000 0.0000 (multiplicity 4)  4 Re 2.84, 4 Be 2.84
Be1 0.2500 0.2500 0.7500 (multiplicity 4)  4 Cs 2.84, 4 Os 2.84
Re1 0.2500 0.2500 0.2500 (multiplicity 4)  4 Os 2.84, 4 Cs 2.84
Os1 0.0000 0.0000 0.5000 (multiplicity 4)  4 Re 2.84, 4 Be 2.84

***

The structure with the greatest stability is two.

***

one.
VASP calculation (PBE) on CsBeTcOs after structural relaxation.

Cell lengths 6.5527, 6.5527, 6.5527 Å; angles 90.00, 90.00, 90.00 degrees
Last column: nearest neighbours and their distance in Å.
Space group F-43m (No. 216)
Inequivalent atoms, fractional coordinates:
Cs1 0.0000 0.0000 0.0000 (multiplicity 4)  4 Be 2.84, 4 Tc 2.84
Be1 0.2500 0.2500 0.7500 (multiplicity 4)  4 Os 2.84, 4 Cs 2.84
Tc1 0.2500 0.2500 0.2500 (multiplicity 4)  4 Os 2.84, 4 Cs 2.84
Os1 0.0000 0.0000 0.5000 (multiplicity 4)  4 Tc 2.84, 4 Be 2.84

***

two.
VASP calculation (PBE) on CsBeTcOs after structural relaxation.

Cell lengths 6.4080, 6.4080, 6.4080 Å; angles 90.00, 90.00, 90.00 degrees
Last column: nearest neighbours and their distance in Å.
Space group F-43m (No. 216)
Inequivalent atoms, fractional coordinates:
Cs1 0.0000 0.0000 0.0000 (multiplicity 4)  4 Tc 2.77, 4 Os 2.77
Be1 0.0000 0.0000 0.5000 (multiplicity 4)  4 Tc 2.77, 4 Os 2.77
Tc1 0.2500 0.2500 0.7500 (multiplicity 4)  4 Be 2.77, 4 Cs 2.77
Os1 0.2500 0.2500 0.2500 (multiplicity 4)  4 Be 2.77, 4 Cs 2.77

***

The structure with the greatest stability is one.

***

one.
VASP calculation (PBE) on CsBeSbPd after structural relaxation.

Cell lengths 7.4309, 7.4309, 7.4309 Å; angles 90.00, 90.00, 90.00 degrees
Last column: nearest neighbours and their distance in Å.
Space group F-43m (No. 216)
Inequivalent atoms, fractional coordinates:
Cs1 0.0000 0.0000 0.0000 (multiplicity 4)  4 Pd 3.22, 4 Sb 3.22
Be1 0.0000 0.0000 0.5000 (multiplicity 4)  4 Sb 3.22, 4 Pd 3.22
Sb1 0.2500 0.2500 0.2500 (multiplicity 4)  4 Be 3.22, 4 Cs 3.22
Pd1 0.2500 0.2500 0.7500 (multiplicity 4)  4 Be 3.22, 4 Cs 3.22

***

two.
VASP calculation (PBE) on CsBeSbPd after structural relaxation.

Cell lengths 7.2569, 7.2569, 7.2569 Å; angles 90.00, 90.00, 90.00 degrees
Last column: nearest neighbours and their distance in Å.
Space group F-43m (No. 216)
Inequivalent atoms, fractional coordinates:
Cs1 0.0000 0.0000 0.0000 (multiplicity 4)  4 Be 3.14, 4 Pd 3.14
Be1 0.2500 0.2500 0.7500 (multiplicity 4)  4 Sb 3.14, 4 Cs 3.14
Sb1 0.0000 0.0000 0.5000 (multiplicity 4)  4 Pd 3.14, 4 Be 3.14
Pd1 0.2500 0.2500 0.2500 (multiplicity 4)  4 Sb 3.14, 4 Cs 3.14

***

The structure with the greatest stability is two.

***

one.
VASP calculation (PBE) on CsBeSbPt after structural relaxation.

Cell lengths 7.2134, 7.2134, 7.2134 Å; angles 90.00, 90.00, 90.00 degrees
Last column: nearest neighbours and their distance in Å.
Space group F-43m (No. 216)
Inequivalent atoms, fractional coordinates:
Cs1 0.0000 0.0000 0.0000 (multiplicity 4)  4 Sb 3.12, 4 Be 3.12
Be1 0.2500 0.2500 0.2500 (multiplicity 4)  4 Pt 3.12, 4 Cs 3.12
Sb1 0.2500 0.2500 0.7500 (multiplicity 4)  4 Pt 3.12, 4 Cs 3.12
Pt1 0.0000 0.0000 0.5000 (multiplicity 4)  4 Be 3.12, 4 Sb 3.12

***

two.
VASP calculation (PBE) on CsBeSbPt after structural relaxation.

Cell lengths 7.2633, 7.2633, 7.2633 Å; angles 90.00, 90.00, 90.00 degrees
Last column: nearest neighbours and their distance in Å.
Space group F-43m (No. 216)
Inequivalent atoms, fractional coordinates:
Cs1 0.0000 0.0000 0.0000 (multiplicity 4)  4 Be 3.15, 4 Pt 3.15
Be1 0.2500 0.2500 0.7500 (multiplicity 4)  4 Sb 3.15, 4 Cs 3.15
Sb1 0.0000 0.0000 0.5000 (multiplicity 4)  4 Pt 3.15, 4 Be 3.15
Pt1 0.2500 0.2500 0.2500 (multiplicity 4)  4 Sb 3.15, 4 Cs 3.15

***

three.
VASP calculation (PBE) on CsBeSbPt after structural relaxation.

Cell lengths 7.3467, 7.3467, 7.3467 Å; angles 90.00, 90.00, 90.00 degrees
Last column: nearest neighbours and their distance in Å.
Space group F-43m (No. 216)
Inequivalent atoms, fractional coordinates:
Cs1 0.0000 0.0000 0.0000 (multiplicity 4)  4 Sb 3.18, 4 Pt 3.18
Be1 0.0000 0.0000 0.5000 (multiplicity 4)  4 Pt 3.18, 4 Sb 3.18
Sb1 0.2500 0.2500 0.2500 (multiplicity 4)  4 Be 3.18, 4 Cs 3.18
Pt1 0.2500 0.2500 0.7500 (multiplicity 4)  4 Cs 3.18, 4 Be 3.18

***

The structure with the greatest stability is two.

***

one.
VASP calculation (PBE) on CsThBe after structural relaxation.

Cell lengths 7.3268, 7.3268, 7.3268 Å; angles 90.00, 90.00, 90.00 degrees
Last column: nearest neighbours and their distance in Å.
Space group F-43m (No. 216)
Inequivalent atoms, fractional coordinates:
Cs1 0.0000 0.0000 0.0000 (multiplicity 4)  4 Be 3.17
Th1 0.0000 0.0000 0.5000 (multiplicity 4)  4 Be 3.17
Be1 0.2500 0.2500 0.2500 (multiplicity 4)  4 Th 3.17, 4 Cs 3.17

***

two.
VASP calculation (PBE) on CsThBe after structural relaxation.

Cell lengths 7.1102, 7.1102, 7.1102 Å; angles 90.00, 90.00, 90.00 degrees
Last column: nearest neighbours and their distance in Å.
Space group F-43m (No. 216)
Inequivalent atoms, fractional coordinates:
Cs1 0.0000 0.0000 0.0000 (multiplicity 4)  4 Th 3.08, 4 Be 3.08
Th1 0.2500 0.2500 0.2500 (multiplicity 4)  4 Cs 3.08
Be1 0.2500 0.2500 0.7500 (multiplicity 4)  4 Cs 3.08

***

The structure with the greatest stability is one.

***

one.
VASP calculation (PBE) on CsBeW after structural relaxation.

Cell lengths 6.9249, 6.9249, 6.9249 Å; angles 90.00, 90.00, 90.00 degrees
Last column: nearest neighbours and their distance in Å.
Space group F-43m (No. 216)
Inequivalent atoms, fractional coordinates:
Cs1 0.0000 0.0000 0.0000 (multiplicity 4)  4 Be 3.00
Be1 0.2500 0.2500 0.2500 (multiplicity 4)  4 W 3.00, 4 Cs 3.00
W1 0.0000 0.0000 0.5000 (multiplicity 4)  4 Be 3.00

***

two.
VASP calculation (PBE) on CsBeW after structural relaxation.

Cell lengths 8.2402, 8.2402, 8.2402 Å; angles 90.00, 90.00, 90.00 degrees
Last column: nearest neighbours and their distance in Å.
Space group F-43m (No. 216)
Inequivalent atoms, fractional coordinates:
Cs1 0.0000 0.0000 0.0000 (multiplicity 4)  4 W 3.57, 4 Be 3.57
Be1 0.2500 0.2500 0.7500 (multiplicity 4)  4 Cs 3.57
W1 0.2500 0.2500 0.2500 (multiplicity 4)  4 Cs 3.57

***

The structure with the greatest stability is one.

***

one.
VASP calculation (PBE) on BeFeCuRe after structural relaxation.

Cell lengths 5.6431, 5.6431, 5.6431 Å; angles 90.00, 90.00, 90.00 degrees
Last column: nearest neighbours and their distance in Å.
Space group F-43m (No. 216)
Inequivalent atoms, fractional coordinates:
Be1 0.0000 0.0000 0.0000 (multiplicity 4)  4 Fe 2.44, 4 Re 2.44
Fe1 0.2500 0.2500 0.7500 (multiplicity 4)  4 Be 2.44, 4 Cu 2.44
Cu1 0.0000 0.0000 0.5000 (multiplicity 4)  4 Fe 2.44, 4 Re 2.44
Re1 0.2500 0.2500 0.2500 (multiplicity 4)  4 Be 2.44, 4 Cu 2.44

***

two.
VASP calculation (PBE) on BeFeCuRe after structural relaxation.

Cell lengths 5.6363, 5.6363, 5.6363 Å; angles 90.00, 90.00, 90.00 degrees
Last column: nearest neighbours and their distance in Å.
Space group F-43m (No. 216)
Inequivalent atoms, fractional coordinates:
Be1 0.0000 0.0000 0.0000 (multiplicity 4)  4 Cu 2.44, 4 Re 2.44
Fe1 0.0000 0.0000 0.5000 (multiplicity 4)  4 Re 2.44, 4 Cu 2.44
Cu1 0.2500 0.2500 0.7500 (multiplicity 4)  4 Fe 2.44, 4 Be 2.44
Re1 0.2500 0.2500 0.2500 (multiplicity 4)  4 Fe 2.44, 4 Be 2.44

***

The structure with the greatest stability is two.

***

one.
VASP calculation (PBE) on HfBeGaCu after structural relaxation.

Cell lengths 6.1276, 6.1276, 6.1276 Å; angles 90.00, 90.00, 90.00 degrees
Last column: nearest neighbours and their distance in Å.
Space group F-43m (No. 216)
Inequivalent atoms, fractional coordinates:
Hf1 0.0000 0.0000 0.0000 (multiplicity 4)  4 Be 2.65, 4 Ga 2.65
Be1 0.2500 0.2500 0.7500 (multiplicity 4)  4 Hf 2.65, 4 Cu 2.65
Ga1 0.2500 0.2500 0.2500 (multiplicity 4)  4 Hf 2.65, 4 Cu 2.65
Cu1 0.0000 0.0000 0.5000 (multiplicity 4)  4 Ga 2.65, 4 Be 2.65

***

two.
VASP calculation (PBE) on HfBeGaCu after structural relaxation.

Cell lengths 6.0948, 6.0948, 6.0948 Å; angles 90.00, 90.00, 90.00 degrees
Last column: nearest neighbours and their distance in Å.
Space group F-43m (No. 216)
Inequivalent atoms, fractional coordinates:
Hf1 0.0000 0.0000 0.0000 (multiplicity 4)  4 Cu 2.64, 4 Be 2.64
Be1 0.2500 0.2500 0.2500 (multiplicity 4)  4 Hf 2.64, 4 Ga 2.64
Ga1 0.0000 0.0000 0.5000 (multiplicity 4)  4 Be 2.64, 4 Cu 2.64
Cu1 0.2500 0.2500 0.7500 (multiplicity 4)  4 Hf 2.64, 4 Ga 2.64

***

The structure with the greatest stability is two.